First-principles (PBE-GGA) data for an optimized crystal structure of RbHgN2O, as listed in Alexandria via LeMat-Bulk.

Summary:
- Formation energy (no corrections): 2.014 eV per atom
- Symmetry: No. 123

```
5
Lattice="6.038 0.000 0.000 0.000 6.038 0.000 0.000 0.000 5.133" Properties=species:S:1:pos:R:3 pbc="T T T"
Rb 0.000 0.000 0.000
Hg 3.019 3.019 2.566
N 0.000 3.019 0.000
N 3.019 0.000 0.000
O 0.000 0.000 2.566
```